Arrangement i

CaCe2Os | PBE | relaxed

Lattice parameters (Å, degrees): 4.088 4.088 9.376 77.41 77.41 60.00
Site moments in Bohr magnetons follow the coordinates.
Fractional coordinates of all 4 atoms:
Ca 0.502 0.502 0.495  0.06
Ce 0.053 0.053 0.841  0.57
Ce 0.280 0.280 0.161  0.47
Os 0.666 0.666 0.003  -0.10

DOS at the Fermi energy (states/eV/cell): 10.82

=====

Arrangement ii

CaCe2Os | PBE | relaxed

Lattice parameters (Å, degrees): 3.420 3.420 9.943 90.00 90.00 90.00
Site moments in Bohr magnetons follow the coordinates.
Fractional coordinates of all 4 atoms:
Ca 0.500 0.500 0.500  0.04
Os 0.500 0.500 0.000  -0.08
Ce 0.000 0.000 0.827  0.68
Ce 0.000 0.000 0.173  0.68

DOS at the Fermi energy (states/eV/cell): 11.47

=====

Stability summary - winner: arrangement i; margin: 0.024 eV/atom.

=====

Arrangement i

CaCe2Pb | PBE | relaxed

Lattice parameters (Å, degrees): 5.303 4.722 4.722 90.00 90.00 90.00
Site moments in Bohr magnetons follow the coordinates.
Fractional coordinates of all 4 atoms:
Pb 0.500 0.000 0.000  -0.04
Ca 0.500 0.500 0.500  0.05
Ce 0.000 0.000 0.500  0.98
Ce 0.000 0.500 0.000  0.98

DOS at the Fermi energy (states/eV/cell): 11.04

=====

Arrangement ii

CaCe2Pb | PBE | relaxed

Lattice parameters (Å, degrees): 3.403 3.403 12.601 82.24 82.24 60.00
Site moments in Bohr magnetons follow the coordinates.
Fractional coordinates of all 4 atoms:
Pb 0.500 0.500 0.500  -0.01
Ca 0.000 0.000 0.000  -0.01
Ce 0.091 0.091 0.727  0.67
Ce 0.909 0.909 0.273  0.67

DOS at the Fermi energy (states/eV/cell): 10.69

=====

Stability summary - winner: arrangement i; margin: 0.282 eV/atom.

=====

Arrangement i

CaCeSnPb | PBE | relaxed

Lattice parameters (Å, degrees): 4.445 5.111 5.153 90.00 90.00 90.00
Site moments in Bohr magnetons follow the coordinates.
Fractional coordinates of all 4 atoms:
Ca 0.500 0.500 0.000  0.00
Ce 0.500 0.000 0.500  0.77
Sn 0.000 0.500 0.500  -0.01
Pb 0.000 0.000 0.000  0.00

DOS at the Fermi energy (states/eV/cell): 7.33

=====

Arrangement ii

CaCeSnPb | PBE | relaxed

Lattice parameters (Å, degrees): 5.512 5.512 5.512 60.00 60.00 60.00
Site moments in Bohr magnetons follow the coordinates.
Fractional coordinates of all 4 atoms:
Pb 0.750 0.750 0.750  0.02
Ca 0.500 0.500 0.500  0.00
Sn 0.250 0.250 0.250  0.02
Ce 0.000 0.000 0.000  0.84

DOS at the Fermi energy (states/eV/cell): 6.68

=====

Stability summary - winner: arrangement i; margin: 0.040 eV/atom.

=====

Arrangement i

CaCePd2 | PBE | relaxed

Lattice parameters (Å, degrees): 5.034 5.034 5.034 60.00 60.00 60.00
Site moments in Bohr magnetons follow the coordinates.
Fractional coordinates of all 4 atoms:
Ca 0.500 0.500 0.500  0.01
Pd 0.250 0.250 0.250  -0.01
Pd 0.750 0.750 0.750  -0.01
Ce 0.000 0.000 0.000  0.78

DOS at the Fermi energy (states/eV/cell): 8.29

=====

Arrangement ii

CaCePd2 | PBE | relaxed

Lattice parameters (Å, degrees): 4.063 4.063 7.459 74.20 74.20 60.00
Site moments in Bohr magnetons follow the coordinates.
Fractional coordinates of all 4 atoms:
Ca 0.500 0.500 0.500  0.00
Pd 0.744 0.744 0.767  -0.01
Pd 0.256 0.256 0.233  -0.01
Ce 0.000 0.000 0.000  0.46

DOS at the Fermi energy (states/eV/cell): 5.81

=====

Arrangement iii

CaCePd2 | PBE | relaxed

Lattice parameters (Å, degrees): 3.549 3.549 7.224 90.00 90.00 90.00
Site moments in Bohr magnetons follow the coordinates.
Fractional coordinates of all 4 atoms:
Ca 0.500 0.500 0.500  0.01
Pd 0.000 0.000 0.767  -0.01
Pd 0.000 0.000 0.233  -0.01
Ce 0.500 0.500 0.000  0.72

DOS at the Fermi energy (states/eV/cell): 6.47

=====

Stability summary - winner: arrangement iii; margin: 0.034 eV/atom.

=====

Arrangement i

CaCePr2 | PBE | relaxed

Lattice parameters (Å, degrees): 5.100 5.270 5.270 90.00 90.00 90.00
Site moments in Bohr magnetons follow the coordinates.
Fractional coordinates of all 4 atoms:
Pr 0.000 0.000 0.500  0.02
Pr 0.000 0.500 0.000  0.02
Ca 0.500 0.000 0.000  0.01
Ce 0.500 0.500 0.500  0.83

DOS at the Fermi energy (states/eV/cell): 9.43

=====

Arrangement ii

CaCePr2 | PBE | relaxed

Lattice parameters (Å, degrees): 5.898 5.898 5.898 60.00 60.00 60.00
Site moments in Bohr magnetons follow the coordinates.
Fractional coordinates of all 4 atoms:
Pr 0.250 0.250 0.250  0.16
Pr 0.750 0.750 0.750  0.16
Ca 0.500 0.500 0.500  0.03
Ce 0.000 0.000 0.000  1.05

DOS at the Fermi energy (states/eV/cell): 12.17

=====

Stability summary - winner: arrangement i; margin: 0.065 eV/atom.

=====

Arrangement i

CaCePr2 | PBE | relaxed

Lattice parameters (Å, degrees): 3.646 3.646 10.566 90.00 90.00 90.00
Site moments in Bohr magnetons follow the coordinates.
Fractional coordinates of all 4 atoms:
Pr 0.000 0.000 0.774  -0.01
Pr 0.000 0.000 0.226  -0.01
Ca 0.500 0.500 0.500  0.00
Ce 0.500 0.500 0.000  0.18

DOS at the Fermi energy (states/eV/cell): 6.44

=====

Arrangement ii

CaCePr2 | PBE | relaxed

Lattice parameters (Å, degrees): 3.659 3.659 12.387 81.51 81.51 60.00
Site moments in Bohr magnetons follow the coordinates.
Fractional coordinates of all 4 atoms:
Pr 0.255 0.255 0.234  -0.02
Pr 0.745 0.745 0.766  -0.02
Ca 0.500 0.500 0.500  0.00
Ce 0.000 0.000 0.000  0.52

DOS at the Fermi energy (states/eV/cell): 7.79

=====

Arrangement iii

CaCePr2 | PBE | relaxed

Lattice parameters (Å, degrees): 4.302 4.302 9.170 76.43 76.43 60.00
Fractional coordinates of all 4 atoms:
Ca 0.499 0.499 0.503
Ce 0.669 0.669 0.992
Pr 0.060 0.060 0.820
Pr 0.272 0.272 0.184

DOS at the Fermi energy (states/eV/cell): 7.58

=====

Stability summary - winner: arrangement i; margin: 0.013 eV/atom.

=====

Arrangement i

CaCePr | PBE | relaxed

Lattice parameters (Å, degrees): 3.656 3.656 9.227 90.00 90.00 120.00
Site moments in Bohr magnetons follow the coordinates.
Fractional coordinates of all 3 atoms:
Pr 0.333 0.667 0.653  -0.01
Ca 0.000 0.000 0.004  0.02
Ce 0.667 0.333 0.343  0.86

DOS at the Fermi energy (states/eV/cell): 7.31

=====

Arrangement ii

CaCePr | PBE | relaxed

Lattice parameters (Å, degrees): 3.828 3.828 17.217 83.60 83.60 59.83
Fractional coordinates of all 6 atoms:
Ca 0.010 0.010 0.249
Ca 0.744 0.744 0.059
Pr 0.614 0.614 0.436
Pr 0.139 0.139 0.872
Ce 0.226 0.226 0.607
Ce 0.527 0.527 0.700

DOS at the Fermi energy (states/eV/cell): 13.01

=====

Stability summary - winner: arrangement ii; margin: 0.021 eV/atom.

=====

Arrangement i

CaCe2Pt | PBE | relaxed

Lattice parameters (Å, degrees): 4.035 4.035 9.919 78.27 78.27 60.00
Site moments in Bohr magnetons follow the coordinates.
Fractional coordinates of all 4 atoms:
Ca 0.500 0.500 0.499  0.09
Ce 0.058 0.058 0.827  0.96
Ce 0.275 0.275 0.174  0.94
Pt 0.666 0.666 0.001  -0.02

DOS at the Fermi energy (states/eV/cell): 14.56

=====

Arrangement ii

CaCe2Pt | PBE | relaxed

Lattice parameters (Å, degrees): 3.841 3.841 11.020 79.96 79.96 60.00
Site moments in Bohr magnetons follow the coordinates.
Fractional coordinates of all 4 atoms:
Ca 0.000 0.000 0.000  0.02
Ce 0.111 0.111 0.666  0.87
Ce 0.889 0.889 0.334  0.87
Pt 0.500 0.500 0.500  -0.03

DOS at the Fermi energy (states/eV/cell): 12.82

=====

Stability summary - winner: arrangement i; margin: 0.114 eV/atom.

=====

Arrangement i

CaCe2Pt3 | PBE | relaxed

Lattice parameters (Å, degrees): 5.838 8.173 7.208 106.49 113.89 90.00
Site moments in Bohr magnetons follow the coordinates.
Fractional coordinates of all 12 atoms:
Ca 0.998 0.750 0.000  0.00
Ca 0.002 0.250 0.000  0.00
Ce 0.665 0.582 0.330  0.40
Ce 0.665 0.082 0.330  0.40
Ce 0.335 0.918 0.670  0.40
Ce 0.335 0.418 0.670  0.40
Pt 0.502 0.250 0.000  -0.01
Pt 0.498 0.750 0.000  -0.01
Pt 0.176 0.088 0.353  -0.02
Pt 0.824 0.412 0.647  -0.02
Pt 0.176 0.588 0.353  -0.02
Pt 0.824 0.912 0.647  -0.02

DOS at the Fermi energy (states/eV/cell): 20.66

=====

Arrangement ii

CaCe2Pt3 | PBE | relaxed

Lattice parameters (Å, degrees): 5.087 8.645 8.645 119.08 107.13 107.13
Site moments in Bohr magnetons follow the coordinates.
Fractional coordinates of all 12 atoms:
Ca 0.250 0.426 0.574  0.01
Ca 0.750 0.574 0.426  0.01
Ce 0.250 0.086 0.914  0.55
Ce 0.250 0.738 0.262  0.59
Ce 0.750 0.914 0.086  0.55
Ce 0.750 0.262 0.738  0.59
Pt 0.530 0.870 0.690  -0.02
Pt 0.030 0.690 0.870  -0.02
Pt 0.500 0.500 0.000  -0.02
Pt 0.470 0.130 0.310  -0.02
Pt 0.000 0.000 0.500  -0.02
Pt 0.970 0.310 0.130  -0.02

DOS at the Fermi energy (states/eV/cell): 22.13

=====

Stability summary - winner: arrangement ii; margin: 0.034 eV/atom.

=====

Arrangement i

Ca2CeRh3 | PBE | relaxed

Lattice parameters (Å, degrees): 3.287 5.642 7.868 111.01 102.06 90.00
Fractional coordinates of all 6 atoms:
Ca 0.671 0.171 0.342
Ca 0.329 0.829 0.658
Ce 0.000 0.500 0.000
Rh 0.354 0.354 0.708
Rh 0.000 0.000 0.000
Rh 0.646 0.646 0.292

DOS at the Fermi energy (states/eV/cell): 2.90

=====

Arrangement ii

Ca2CeRh3 | PBE | relaxed

Lattice parameters (Å, degrees): 7.758 7.758 6.759 90.00 90.00 142.51
Fractional coordinates of all 12 atoms:
Ca 0.000 0.000 0.000
Ca 0.000 0.000 0.500
Ca 0.335 0.665 0.500
Ca 0.665 0.335 0.500
Ce 0.337 0.663 0.000
Ce 0.663 0.337 0.000
Rh 0.824 0.176 0.776
Rh 0.500 0.500 0.228
Rh 0.176 0.824 0.224
Rh 0.824 0.176 0.224
Rh 0.176 0.824 0.776
Rh 0.500 0.500 0.772

DOS at the Fermi energy (states/eV/cell): 7.24

=====

Stability summary - winner: arrangement ii; margin: 0.220 eV/atom.

=====

Arrangement i

CaCeRh | PBE | relaxed

Lattice parameters (Å, degrees): 3.484 3.484 7.046 104.31 104.31 90.00
Site moments in Bohr magnetons follow the coordinates.
Fractional coordinates of all 3 atoms:
Ca 0.032 0.032 0.064  0.02
Rh 0.679 0.679 0.358  -0.05
Ce 0.289 0.289 0.578  0.67

DOS at the Fermi energy (states/eV/cell): 5.69

=====

Arrangement ii

CaCeRh | PBE | relaxed

Lattice parameters (Å, degrees): 6.598 3.954 3.954 120.00 90.00 90.00
Site moments in Bohr magnetons follow the coordinates.
Fractional coordinates of all 3 atoms:
Ca 0.740 0.667 0.333  0.01
Rh 0.023 0.000 0.000  -0.07
Ce 0.238 0.333 0.667  0.74

DOS at the Fermi energy (states/eV/cell): 5.20

=====

Arrangement iii

CaCeRh | PBE | relaxed

Lattice parameters (Å, degrees): 4.979 3.520 12.537 106.36 78.45 135.02
Fractional coordinates of all 6 atoms:
Ca 0.249 0.631 0.132
Ca 0.751 0.369 0.868
Ce 0.250 0.914 0.414
Ce 0.750 0.086 0.586
Rh 0.250 0.203 0.702
Rh 0.750 0.797 0.298

DOS at the Fermi energy (states/eV/cell): 6.31

=====

Arrangement iv

CaCeRh | PBE | relaxed

Lattice parameters (Å, degrees): 4.877 4.877 4.877 60.00 60.00 60.00
Site moments in Bohr magnetons follow the coordinates.
Fractional coordinates of all 3 atoms:
Ca 0.000 0.000 0.000  0.02
Rh 0.250 0.250 0.250  -0.07
Ce 0.500 0.500 0.500  0.82

DOS at the Fermi energy (states/eV/cell): 7.71

=====

Stability summary - winner: arrangement iii; margin: 0.095 eV/atom.

=====

Arrangement i

CaCeRu | PBE | relaxed

Lattice parameters (Å, degrees): 5.022 5.022 13.890 51.57 51.57 43.70
Fractional coordinates of all 6 atoms:
Ca 0.278 0.278 0.358
Ca 0.722 0.722 0.642
Ce 0.754 0.754 0.892
Ce 0.246 0.246 0.108
Ru 0.986 0.986 0.120
Ru 0.014 0.014 0.880

DOS at the Fermi energy (states/eV/cell): 5.56

=====

Arrangement ii

CaCeRu | PBE | relaxed

Lattice parameters (Å, degrees): 5.247 4.335 4.335 120.00 90.00 90.00
Fractional coordinates of all 3 atoms:
Ru 0.164 0.000 0.000
Ca 0.668 0.667 0.333
Ce 0.168 0.333 0.667

DOS at the Fermi energy (states/eV/cell): 3.28

=====

Arrangement iii

CaCeRu | PBE | relaxed

Lattice parameters (Å, degrees): 3.433 3.433 7.096 104.00 104.00 90.00
Fractional coordinates of all 3 atoms:
Ru 0.683 0.683 0.366
Ca 0.031 0.031 0.063
Ce 0.286 0.286 0.571

DOS at the Fermi energy (states/eV/cell): 2.63

=====

Stability summary - winner: arrangement i; margin: 0.048 eV/atom.